# Ce2Ga3AgAu4 (PBE, relaxed)
data_Ce2Ga3AgAu4
_chemical_formula_sum 'Ce2 Ga3 Ag1 Au4'
_symmetry_space_group_name_H-M 'P -4 m 2'
_symmetry_Int_Tables_number 115
_cell_length_a 4.3349
_cell_length_b 4.3349
_cell_length_c 11.3215
_cell_angle_alpha 90.00
_cell_angle_beta 90.00
_cell_angle_gamma 90.00
loop_
_symmetry_equiv_pos_as_xyz
'x,y,z'
'y,-x,-z'
'-x,-y,z'
'-y,x,-z'
'-x,y,z'
'-y,-x,-z'
'x,-y,z'
'y,x,-z'
loop_
_atom_site_label
_atom_site_type_symbol
_atom_site_fract_x
_atom_site_fract_y
_atom_site_fract_z
_atom_site_occupancy
Ce1 Ce 0.0000 0.5000 0.2430 1
Ga1 Ga 0.0000 0.5000 0.8715 1
Ga2 Ga 0.5000 0.5000 0.5000 1
Ag1 Ag 0.0000 0.0000 0.5000 1
Au1 Au 0.0000 0.0000 0.0000 1
Au2 Au 0.0000 0.5000 0.6498 1
Au3 Au 0.5000 0.5000 0.0000 1
# Total magnetic moment ... 2.3 μB/cell
# Volume ... 213 Å³/cell

=====

# HfFeHg2 (PBE, relaxed)
data_HfFeHg2
_chemical_formula_sum 'Hf4 Fe4 Hg8'
_symmetry_space_group_name_H-M 'I -4 2 d'
_symmetry_Int_Tables_number 122
_symmetry_space_group_name_Hall 'I -4 2bw'
_cell_length_a 7.6913
_cell_length_b 7.6913
_cell_length_c 5.4112
_cell_angle_alpha 90.00
_cell_angle_beta 90.00
_cell_angle_gamma 90.00
loop_
_atom_site_label
_atom_site_type_symbol
_atom_site_fract_x
_atom_site_fract_y
_atom_site_fract_z
_atom_site_occupancy
Hf1 Hf 0.0000 0.0000 0.0000 1
Fe1 Fe 0.0000 0.0000 0.5000 1
Hg1 Hg 0.2071 0.2500 0.6250 1
# Total magnetic moment ... 0.0 μB/cell
# Volume ... 320 Å³/cell

=====

# CaNiSn3 (PBE, relaxed)
data_CaNiSn3
_chemical_formula_sum 'Ca1 Ni1 Sn3'
_symmetry_space_group_name_H-M 'P m -3 m'
_symmetry_Int_Tables_number 221
_symmetry_space_group_name_Hall '-P 4 2 3'
_cell_length_a 5.6759
_cell_length_b 5.6759
_cell_length_c 5.6759
_cell_angle_alpha 90.00
_cell_angle_beta 90.00
_cell_angle_gamma 90.00
loop_
_atom_site_label
_atom_site_type_symbol
_atom_site_fract_x
_atom_site_fract_y
_atom_site_fract_z
_atom_site_occupancy
Ca1 Ca 0.0000 0.0000 0.0000 1
Ni1 Ni 0.5000 0.5000 0.5000 1
Sn1 Sn 0.0000 0.0000 0.5000 1
# Total magnetic moment ... 0.0 μB/cell
# Volume ... 183 Å³/cell

=====

# PuPaIn (PBE, relaxed)
data_PuPaIn
_chemical_formula_sum 'Pu2 Pa2 In2'
_symmetry_space_group_name_H-M 'I 4 m m'
_symmetry_Int_Tables_number 107
_symmetry_space_group_name_Hall 'I 4 -2'
_cell_length_a 3.8194
_cell_length_b 3.8194
_cell_length_c 10.1817
_cell_angle_alpha 90.00
_cell_angle_beta 90.00
_cell_angle_gamma 90.00
loop_
_atom_site_label
_atom_site_type_symbol
_atom_site_fract_x
_atom_site_fract_y
_atom_site_fract_z
_atom_site_occupancy
Pu1 Pu 0.0000 0.0000 0.0000 1
Pa1 Pa 0.0000 0.0000 0.6320 1
In1 In 0.0000 0.0000 0.3176 1
# Total magnetic moment ... 13.0 μB/cell
# Volume ... 149 Å³/cell

=====

| no. | final energy (eV/cell) |
| --- | --- |
| 1 | -41.891 |
| 2 | -66.045 |
| 3 | -13.571 |
| 4 | -53.126 |